A plane-wave DFT calculation with meta-GGA SCAN was carried out for a crystal of Mn2BSb relaxed with PBEsol.

Properties
M_tot = 7.50 Bohr magnetons per cell
calculated density = 8.56 g/cm³
E_form (uncorrected) = 724 meV/atom

Geometry as CIF:
```
data_Mn2BSb
_chemical_formula_sum 'Mn8 B4 Sb4'
_cell_length_a 5.730
_cell_length_b 5.730
_cell_length_c 5.730
_cell_angle_alpha 90.00
_cell_angle_beta 90.00
_cell_angle_gamma 90.00
_symmetry_space_group_name_H-M 'F m -3 m'
_symmetry_Int_Tables_number 225
_symmetry_space_group_name_Hall '-F 4 2 3'
loop_
_atom_site_label
_atom_site_type_symbol
_atom_site_fract_x
_atom_site_fract_y
_atom_site_fract_z
Mn1 Mn 0.250 0.250 0.250
B1 B 0.000 0.000 0.000
Sb1 Sb 0.000 0.000 0.500
```

---

A plane-wave DFT calculation with meta-GGA SCAN was carried out for a crystal of LaTa2Ru2 relaxed with PBEsol.

Properties
M_tot = 0.00 Bohr magnetons per cell
calculated density = 11.50 g/cm³
E_form = -0.375 eV/atom
polymorph energy (0 for the lowest one) = 0.000 eV/atom

Geometry as CIF:
```
data_LaTa2Ru2
_chemical_formula_sum 'La2 Ta4 Ru4'
_cell_length_a 4.357
_cell_length_b 4.357
_cell_length_c 10.692
_cell_angle_alpha 90.00
_cell_angle_beta 90.00
_cell_angle_gamma 90.00
_symmetry_space_group_name_H-M 'I 4/m m m'
_symmetry_Int_Tables_number 139
_symmetry_space_group_name_Hall '-I 4 2'
loop_
_atom_site_label
_atom_site_type_symbol
_atom_site_fract_x
_atom_site_fract_y
_atom_site_fract_z
La1 La 0.000 0.000 0.000
Ta1 Ta 0.000 0.500 0.250
Ru1 Ru 0.000 0.000 0.376
```

---

A plane-wave DFT calculation with meta-GGA SCAN was carried out for a crystal of CaH4N2 relaxed with PBEsol.

Properties
M_tot = 0.00 Bohr magnetons per cell
calculated density = 1.83 g/cm³
VASP energy = -6.71 eV/atom

Geometry as CIF:
```
data_CaH4N2
_chemical_formula_sum 'Ca4 H16 N8'
_cell_length_a 6.291
_cell_length_b 7.161
_cell_length_c 6.183
_cell_angle_alpha 90.00
_cell_angle_beta 109.57
_cell_angle_gamma 90.00
_symmetry_space_group_name_H-M 'P 1 21/c 1'
_symmetry_Int_Tables_number 14
_symmetry_space_group_name_Hall '-P 2ybc'
loop_
_atom_site_label
_atom_site_type_symbol
_atom_site_fract_x
_atom_site_fract_y
_atom_site_fract_z
Ca1 Ca 0.250 0.121 0.003
H1 H 0.038 0.591 0.134
H2 H 0.130 0.743 0.339
H3 H 0.386 0.692 0.756
H4 H 0.434 0.031 0.609
N1 N 0.005 0.643 0.276
N2 N 0.476 0.117 0.752
```

---

A plane-wave DFT calculation with meta-GGA SCAN was carried out for a crystal of ZnAg2Au relaxed with PBEsol.

Properties
M_tot = 0.00 Bohr magnetons per cell
calculated density = 12.48 g/cm³
E_form = -0.056 eV/atom

Geometry as CIF:
```
data_ZnAg2Au
_chemical_formula_sum 'Zn1 Ag2 Au1'
_cell_length_a 2.858
_cell_length_b 2.858
_cell_length_c 7.785
_cell_angle_alpha 90.00
_cell_angle_beta 90.00
_cell_angle_gamma 90.00
_symmetry_space_group_name_H-M 'P 4/m m m'
_symmetry_Int_Tables_number 123
_symmetry_space_group_name_Hall '-P 4 2'
loop_
_atom_site_label
_atom_site_type_symbol
_atom_site_fract_x
_atom_site_fract_y
_atom_site_fract_z
Zn1 Zn 0.000 0.000 0.000
Ag1 Ag 0.500 0.500 0.235
Au1 Au 0.000 0.000 0.500
```

---

> Which formula does entry 3 have?

CaH4N2

---

> The lowest calculated density belongs to which entry?

CaH4N2